# PBE+U CsV2RuO8, relaxed
# Crystal system = trigonal
# Total DFT energy (no corrections) = -6.99 eV/atom
# Total magnetization = 3.0 Bohr magnetons per cell
data_CsV2RuO8
_cell_length_a 5.477
_cell_length_b 5.477
_cell_length_c 8.517
_cell_angle_alpha 90.00
_cell_angle_beta 90.00
_cell_angle_gamma 120.00
_symmetry_space_group_name_H-M 'P 1'
_symmetry_Int_Tables_number 1
_symmetry_space_group_name_Hall 'P 1'
loop_
_atom_site_label
_atom_site_type_symbol
_atom_site_fract_x
_atom_site_fract_y
_atom_site_fract_z
Cs1 Cs 0.000 0.000 0.000
V1 V 0.333 0.667 0.696
V2 V 0.667 0.333 0.304
Ru1 Ru 0.000 0.000 0.500
O1 O 0.084 0.321 0.634
O2 O 0.237 0.916 0.634
O3 O 0.321 0.237 0.366
O4 O 0.333 0.667 0.890
O5 O 0.667 0.333 0.110
O6 O 0.679 0.763 0.634
O7 O 0.763 0.084 0.366
O8 O 0.916 0.679 0.366